1.
Crystalline Dy3Mg3Zn2Ag at its relaxed geometry. Source: OQMD via LeMat-Bulk, functional GGA-PBE.

Values from the calculation:
The total moment comes out at 0.1 μB per cell. Its symmetry is P-62m. Its electronic total energy is -2.921 eV/atom.

Cell lengths 7.548, 7.548, 4.187 Å; angles 90.00, 90.00, 120.00 degrees
Element x y z (fractional)
Zn1 0.667 0.333 0.500
Ag1 0.000 0.000 0.000
Dy1 0.415 0.000 0.000
Dy2 0.585 0.585 0.000
Mg1 0.000 0.752 0.500
Dy3 0.000 0.415 0.000
Zn2 0.333 0.667 0.500
Mg2 0.752 0.000 0.500
Mg3 0.248 0.248 0.500

---

2.
Crystalline DyMgZnAg at its relaxed geometry. Source: OQMD via LeMat-Bulk, functional GGA-PBE.

Values from the calculation:
The total moment comes out at 0.0 μB per cell. Its symmetry is F-43m. Its electronic total energy is -2.886 eV/atom.

Cell lengths 4.888, 4.888, 4.888 Å; angles 60.00, 60.00, 60.00 degrees
Element x y z (fractional)
Ag1 0.250 0.250 0.250
Dy1 0.500 0.500 0.500
Zn1 0.750 0.750 0.750
Mg1 0.000 0.000 0.000

---

3.
Crystalline Dy3Mg3ZnAg2 at its relaxed geometry. Source: OQMD via LeMat-Bulk, functional GGA-PBE.

Values from the calculation:
The total moment comes out at 0.0 μB per cell. Its symmetry is P-62m. Its electronic total energy is -3.090 eV/atom.

Cell lengths 7.606, 7.606, 4.171 Å; angles 90.00, 90.00, 120.00 degrees
Element x y z (fractional)
Mg1 0.000 0.756 0.500
Ag1 0.333 0.667 0.500
Dy1 0.411 0.000 0.000
Mg2 0.244 0.244 0.500
Ag2 0.667 0.333 0.500
Zn1 0.000 0.000 0.000
Mg3 0.756 0.000 0.500
Dy2 0.589 0.589 0.000
Dy3 0.000 0.411 0.000